Compound: Sm2Pt
Source: OQMD
Functional: GGA-PBE
Structure: relaxed

Results
**Total moment**: 0.004 μB per atom
**Calculated formation energy**: 0.335 eV/atom
**ρ**: 11.04 g/cm³

Cell: 8.419 8.419 8.419 Å, 90.00 90.00 90.00°
Space group Fd-3m (No. 227, origin choice 2)
Unique sites:
1 Sm 0.000 0.000 0.000 (multiplicity 16)
2 Pt 0.125 0.125 0.625 (multiplicity 8)